A plane-wave DFT calculation with PBE was carried out for Mg2Ga4Co after structural relaxation.

Cell: 4.578 4.578 13.606 Å, 90.00 90.00 90.00°
Space group I4/mmm (No. 139)
Asymmetric unit:
Mg1 0.000 0.000 0.135 x4
Ga1 0.000 0.000 0.328 x4
Ga2 0.000 0.500 0.000 x4
Co1 0.000 0.000 0.500 x2

Summary:
The calculation puts the formation enthalpy at 0 K at 0.04 eV per atom.

---

A plane-wave DFT calculation with PBE was carried out for MgGa7Co2 after structural relaxation.

Cell: 7.799 10.851 4.515 Å, 90.00 90.00 90.00°
Space group Cmmm (No. 65)
Asymmetric unit:
Mg1 0.000 0.000 0.000 x2
Ga1 0.000 0.294 0.000 x4
Ga2 0.000 0.500 0.500 x2
Ga3 0.202 0.124 0.500 x8
Co1 0.000 0.289 0.500 x4

Summary:
The calculation puts the formation enthalpy at 0 K at -0.09 eV per atom.

---

A plane-wave DFT calculation with PBE was carried out for Mg2Ga5Co3 after structural relaxation.

Cell: 9.981 12.029 5.204 Å, 90.00 107.34 90.00°
Space group C2/c (No. 15)
Asymmetric unit:
Mg1 0.116 0.214 0.039 x8
Ga1 0.000 0.003 0.750 x4
Ga2 0.121 0.346 0.544 x8
Ga3 0.212 0.451 0.104 x8
Co1 0.000 0.489 0.750 x4
Co2 0.141 0.148 0.538 x8

Summary:
The calculation puts the formation enthalpy at 0 K at -0.19 eV per atom.

---

A plane-wave DFT calculation with PBE was carried out for MgGaCo3 after structural relaxation.

Cell: 4.362 4.362 4.362 Å, 90.00 90.00 90.00°
Space group Pm-3m (No. 221)
Asymmetric unit:
Mg1 0.000 0.000 0.000 x1
Ga1 0.500 0.500 0.500 x1
Co1 0.000 0.500 0.500 x3

Summary:
The calculation puts the formation enthalpy at 0 K at 0.74 eV per atom.